(1)
{
  "formula": "K2RhCl6",
  "functional": "PBE",
  "state": "optimized geometry",
  "vol_a3_per_cell": 583.7,
  "magnetic_moment_mub_per_fu": 1.1,
  "rho_kg_m3": 2241,
  "dos_at_fermi_per_ev_fu": 8.5,
  "e_tot_ev_per_atom": -3.398,
  "lattice": [[6.670, 0.000, 0.000], [0.000, 6.670, 0.000], [0.000, 0.000, 13.119]],
  "species": ["K", "K", "K", "K", "Rh", "Rh", "Cl", "Cl", "Cl", "Cl", "Cl", "Cl", "Cl", "Cl", "Cl", "Cl", "Cl", "Cl"],
  "fractional_positions": [[0.000, 0.000, 0.167], [0.000, 0.000, 0.833], [0.500, 0.500, 0.333], [0.500, 0.500, 0.667], [0.000, 0.000, 0.500], [0.500, 0.500, 0.000], [0.174, 0.174, 0.371], [0.174, 0.174, 0.629], [0.247, 0.753, 0.500], [0.253, 0.253, 0.000], [0.326, 0.674, 0.129], [0.326, 0.674, 0.871], [0.674, 0.326, 0.129], [0.674, 0.326, 0.871], [0.747, 0.747, 0.000], [0.753, 0.247, 0.500], [0.826, 0.826, 0.371], [0.826, 0.826, 0.629]]
}

***

(2)
{
  "formula": "KRh2Cl",
  "functional": "PBE",
  "state": "optimized geometry",
  "vol_a3_per_cell": 77.2,
  "magnetic_moment_mub_per_fu": 2.4,
  "e_above_lowest_polymorph_kj_per_mol_atoms": 57.13,
  "rho_kg_m3": 6028,
  "dos_at_fermi_per_ev_fu": 2.5,
  "e_tot_ev_per_atom": -3.867,
  "lattice": [[0.000, 3.380, 3.380], [3.380, 0.000, 3.380], [3.380, 3.380, 0.000]],
  "species": ["K", "Rh", "Rh", "Cl"],
  "fractional_positions": [[0.000, 0.000, 0.000], [0.500, 0.500, 0.500], [0.750, 0.750, 0.750], [0.250, 0.250, 0.250]]
}

***

(3)
{
  "formula": "KRhCl",
  "functional": "PBE",
  "state": "optimized geometry",
  "vol_a3_per_cell": 73.8,
  "magnetic_moment_mub_per_fu": 1.0,
  "e_above_lowest_polymorph_kj_per_mol_atoms": 45.14,
  "rho_kg_m3": 3994,
  "dos_at_fermi_per_ev_fu": 5.1,
  "e_tot_ev_per_atom": -3.153,
  "lattice": [[0.000, 3.329, 3.329], [3.329, 0.000, 3.329], [3.329, 3.329, 0.000]],
  "species": ["K", "Rh", "Cl"],
  "fractional_positions": [[0.000, 0.000, 0.000], [0.750, 0.750, 0.750], [0.500, 0.500, 0.500]]
}

***

(4)
{
  "formula": "K4Rh2Cl",
  "functional": "PBE",
  "state": "optimized geometry",
  "vol_a3_per_cell": 294.0,
  "magnetic_moment_mub_per_fu": 3.0,
  "rho_kg_m3": 2246,
  "dos_at_fermi_per_ev_fu": 4.3,
  "e_tot_ev_per_atom": -2.941,
  "lattice": [[-3.119, 3.119, 7.557], [3.119, -3.119, 7.557], [3.119, 3.119, -7.557]],
  "species": ["K", "K", "K", "K", "Rh", "Rh", "Cl"],
  "fractional_positions": [[0.000, 0.500, 0.500], [0.196, 0.196, 0.000], [0.500, 0.000, 0.500], [0.804, 0.804, 0.000], [0.422, 0.422, 0.000], [0.578, 0.578, 0.000], [0.000, 0.000, 0.000]]
}

***

Number 3 is which compound?
KRhCl